(1)
The following is a DFT calculation (PBE) of La3Nd4Ho5 after structural relaxation.

Values from the calculation:
Density of states at the Fermi level (states/eV/cell): 19.283
E_form (kJ/mol of formula units): 259
Energy above the most stable polymorph in this dataset (meV/atom): 202.4

Unit cell a=6.0455 b=8.6619 c=9.8114 alpha=105.41 beta=72.06 gamma=69.58
Element x y z (fractional)
1 Nd 0.8609 0.2234 0.0548
2 Nd 0.1391 0.7766 0.9452
3 Ho 0.5000 0.5000 0.5000
4 Ho 0.2163 0.4550 0.1123
5 Ho 0.3744 0.0548 0.1964
6 La 0.0000 0.5000 0.5000
7 Ho 0.6256 0.9452 0.8036
8 Nd 0.1731 0.0338 0.6201
9 Ho 0.7837 0.5450 0.8877
10 Nd 0.8269 0.9662 0.3799
11 La 0.4779 0.3123 0.7319
12 La 0.5221 0.6877 0.2681

---

(2)
The following is a DFT calculation (PBE) of TbScTcPd after structural relaxation.

Values from the calculation:
Density of states at the Fermi level (states/eV/cell): 3.493
E_form (kJ/mol of formula units): -160

Unit cell a=4.7577 b=4.7577 c=4.7577 alpha=60.00 beta=60.00 gamma=60.00
Element x y z (fractional)
1 Tb 0.7500 0.7500 0.7500
2 Tc 0.5000 0.5000 0.5000
3 Pd 0.0000 0.0000 0.0000
4 Sc 0.2500 0.2500 0.2500

---

(3)
The following is a DFT calculation (PBE) of K2NpAlO6 after structural relaxation.

Values from the calculation:
Formation energy (no corrections) (eV per atom): -2.4322

Unit cell a=5.6793 b=5.6791 c=8.0311 alpha=90.00 beta=90.00 gamma=90.00
Element x y z (fractional)
1 O 0.2452 0.9950 0.5000
2 O 0.2451 0.5047 0.5000
3 Np 0.0000 0.7501 0.0000
4 O 0.7451 0.4953 0.0000
5 O 0.7548 0.9950 0.5000
6 O 0.7549 0.5047 0.5000
7 Al 0.5000 0.2501 0.0000
8 K 0.5000 0.7500 0.2500
9 Np 0.5000 0.2499 0.5000
10 O 0.5000 0.2500 0.7548
11 O 0.7452 0.0050 0.0000
12 K 0.5000 0.7500 0.7500
13 K 0.0000 0.2500 0.7500
14 Al 0.0000 0.7499 0.5000
15 O 0.5000 0.2500 0.2452
16 O 0.0000 0.7500 0.2548
17 O 0.2548 0.0050 0.0000
18 O 0.0000 0.7500 0.7452
19 K 0.0000 0.2500 0.2500
20 O 0.2549 0.4953 0.0000

---

(4)
The following is a DFT calculation (PBE) of Ca2GaHgRh after structural relaxation.

Values from the calculation:
Density of states at the Fermi level (states/eV/cell): 1.533
E_form (kJ/mol of formula units): -196

Unit cell a=5.4559 b=5.4559 c=4.7722 alpha=90.00 beta=90.00 gamma=90.00
Element x y z (fractional)
1 Ca 0.5000 0.0000 0.0000
2 Ga 0.0000 0.0000 0.5000
3 Rh 0.0000 0.0000 0.0000
4 Ca 0.0000 0.5000 0.0000
5 Hg 0.5000 0.5000 0.5000

---

What did the first record say?
The following is a DFT calculation (PBE) of La3Nd4Ho5 after structural relaxation.

Values from the calculation:
Density of states at the Fermi level (states/eV/cell): 19.283
E_form (kJ/mol of formula units): 259
Energy above the most stable polymorph in this dataset (meV/atom): 202.4

Unit cell a=6.0455 b=8.6619 c=9.8114 alpha=105.41 beta=72.06 gamma=69.58
Element x y z (fractional)
1 Nd 0.8609 0.2234 0.0548
2 Nd 0.1391 0.7766 0.9452
3 Ho 0.5000 0.5000 0.5000
4 Ho 0.2163 0.4550 0.1123
5 Ho 0.3744 0.0548 0.1964
6 La 0.0000 0.5000 0.5000
7 Ho 0.6256 0.9452 0.8036
8 Nd 0.1731 0.0338 0.6201
9 Ho 0.7837 0.5450 0.8877
10 Nd 0.8269 0.9662 0.3799
11 La 0.4779 0.3123 0.7319
12 La 0.5221 0.6877 0.2681